A geometry-optimized PrErGa2Pd4 structure, computed with GGA-PBE.

Total DFT energy (no corrections) (eV per cell): -43.01

Structure (CIF):
```
data_PrErGa2Pd4
_chemical_formula_sum 'Pr1 Er1 Ga2 Pd4'
_cell_length_a 4.424
_cell_length_b 4.424
_cell_length_c 9.223
_cell_angle_alpha 90.00
_cell_angle_beta 90.00
_cell_angle_gamma 120.00
_symmetry_space_group_name_H-M 'P 1'
_symmetry_Int_Tables_number 1
loop_
_symmetry_equiv_pos_as_xyz
'x,y,z'
loop_
_atom_site_label
_atom_site_fract_x
_atom_site_fract_y
_atom_site_fract_z
Er1 0.000 0.000 0.000
Ga1 0.667 0.333 0.243
Ga2 0.667 0.333 0.757
Pd1 0.333 0.667 0.162
Pd2 0.000 0.000 0.316
Pd3 0.000 0.000 0.684
Pd4 0.333 0.667 0.838
Pr1 0.333 0.667 0.500
```

=====

A geometry-optimized Er2Ga2Pd3Pt structure, computed with GGA-PBE.

Total DFT energy (no corrections) (eV per cell): -44.44

Structure (CIF):
```
data_Er2Ga2Pd3Pt
_chemical_formula_sum 'Er2 Ga2 Pd3 Pt1'
_cell_length_a 4.381
_cell_length_b 4.381
_cell_length_c 9.030
_cell_angle_alpha 90.00
_cell_angle_beta 90.00
_cell_angle_gamma 120.00
_symmetry_space_group_name_H-M 'P 1'
_symmetry_Int_Tables_number 1
loop_
_symmetry_equiv_pos_as_xyz
'x,y,z'
loop_
_atom_site_label
_atom_site_fract_x
_atom_site_fract_y
_atom_site_fract_z
Er1 0.000 0.000 0.249
Er2 0.667 0.333 0.753
Ga1 0.333 0.667 0.499
Ga2 0.333 0.667 0.995
Pd1 0.667 0.333 0.088
Pd2 0.667 0.333 0.417
Pd3 0.000 0.000 0.582
Pt1 0.000 0.000 0.916
```

=====

A geometry-optimized ErGaPdPt structure, computed with GGA-PBE.

Total DFT energy (no corrections) (eV per cell): -45.68

Structure (CIF):
```
data_ErGaPdPt
_chemical_formula_sum 'Er2 Ga2 Pd2 Pt2'
_cell_length_a 4.376
_cell_length_b 4.376
_cell_length_c 9.021
_cell_angle_alpha 90.00
_cell_angle_beta 90.00
_cell_angle_gamma 120.00
_symmetry_space_group_name_H-M 'P 1'
_symmetry_Int_Tables_number 1
loop_
_symmetry_equiv_pos_as_xyz
'x,y,z'
loop_
_atom_site_label
_atom_site_fract_x
_atom_site_fract_y
_atom_site_fract_z
Er1 0.000 0.000 0.000
Er2 0.667 0.333 0.500
Ga1 0.333 0.667 0.254
Ga2 0.333 0.667 0.746
Pd1 0.667 0.333 0.163
Pd2 0.667 0.333 0.837
Pt1 0.000 0.000 0.331
Pt2 0.000 0.000 0.669
```

=====

A geometry-optimized ErGaPdPt structure, computed with GGA-PBE.

Total DFT energy (no corrections) (eV per cell): -45.74

Structure (CIF):
```
data_ErGaPdPt
_chemical_formula_sum 'Er2 Ga2 Pd2 Pt2'
_cell_length_a 4.376
_cell_length_b 4.376
_cell_length_c 9.045
_cell_angle_alpha 90.00
_cell_angle_beta 90.00
_cell_angle_gamma 120.00
_symmetry_space_group_name_H-M 'P 1'
_symmetry_Int_Tables_number 1
loop_
_symmetry_equiv_pos_as_xyz
'x,y,z'
loop_
_atom_site_label
_atom_site_fract_x
_atom_site_fract_y
_atom_site_fract_z
Er1 0.667 0.333 0.252
Er2 0.333 0.667 0.752
Ga1 0.000 0.000 0.494
Ga2 0.000 0.000 0.994
Pd1 0.333 0.667 0.087
Pd2 0.667 0.333 0.587
Pt1 0.333 0.667 0.417
Pt2 0.667 0.333 0.917
```

=====

> What is the total DFT energy (no corrections) in the third record?

-45.68 eV per cell

=====

> Look up the total DFT energy (no corrections) of the third one.

-45.68 eV per cell